VASP calculation (PBE) on NbV5C6 after structural relaxation.

Structure (CIF):
```
data_NbV5C6
_chemical_formula_sum 'Nb1 V5 C6'
_cell_length_a 5.183
_cell_length_b 5.183
_cell_length_c 5.182
_cell_angle_alpha 99.58
_cell_angle_beta 99.58
_cell_angle_gamma 120.01
_space_group_name_H-M_alt 'P 1'
_space_group_IT_number 1
loop_
_space_group_symop_operation_xyz
'x,y,z'
loop_
_atom_site_label
_atom_site_type_symbol
_atom_site_fract_x
_atom_site_fract_y
_atom_site_fract_z
Nb1 Nb 0.000 0.000 0.000
V1 V 0.168 0.832 0.500
V2 V 0.334 0.666 0.000
V3 V 0.500 0.500 0.500
V4 V 0.666 0.334 0.000
V5 V 0.832 0.168 0.500
C1 C 0.086 0.428 0.257
C2 C 0.258 0.258 0.745
C3 C 0.428 0.086 0.257
C4 C 0.572 0.914 0.743
C5 C 0.742 0.742 0.255
C6 C 0.914 0.572 0.743
```

For the total energy, the calculation gives -115.7 eV per cell.

=====

VASP calculation (PBE) on Nb5VC3 after structural relaxation.

Structure (CIF):
```
data_Nb5VC3
_chemical_formula_sum 'Nb10 V2 C6'
_cell_length_a 11.332
_cell_length_b 11.332
_cell_length_c 3.188
_cell_angle_alpha 90.00
_cell_angle_beta 90.00
_cell_angle_gamma 142.10
_space_group_name_H-M_alt 'P 1'
_space_group_IT_number 1
loop_
_space_group_symop_operation_xyz
'x,y,z'
loop_
_atom_site_label
_atom_site_type_symbol
_atom_site_fract_x
_atom_site_fract_y
_atom_site_fract_z
Nb1 Nb 0.041 0.372 0.500
Nb2 Nb 0.069 0.931 0.000
Nb3 Nb 0.269 0.731 0.000
Nb4 Nb 0.297 0.297 0.500
Nb5 Nb 0.372 0.041 0.500
Nb6 Nb 0.628 0.959 0.500
Nb7 Nb 0.703 0.703 0.500
Nb8 Nb 0.731 0.269 0.000
Nb9 Nb 0.931 0.069 0.000
Nb10 Nb 0.959 0.628 0.500
V1 V 0.403 0.597 0.000
V2 V 0.597 0.403 0.000
C1 C 0.000 0.000 0.500
C2 C 0.169 0.831 0.000
C3 C 0.341 0.659 0.500
C4 C 0.500 0.500 0.000
C5 C 0.659 0.341 0.500
C6 C 0.831 0.169 0.000
```

For the total energy, the calculation gives -181.4 eV per cell.

=====

VASP calculation (PBE) on Nb3WC after structural relaxation.

Structure (CIF):
```
data_Nb3WC
_chemical_formula_sum 'Nb3 W1 C1'
_cell_length_a 4.850
_cell_length_b 4.850
_cell_length_c 4.850
_cell_angle_alpha 90.00
_cell_angle_beta 90.00
_cell_angle_gamma 90.00
_space_group_name_H-M_alt 'P 1'
_space_group_IT_number 1
loop_
_space_group_symop_operation_xyz
'x,y,z'
loop_
_atom_site_label
_atom_site_type_symbol
_atom_site_fract_x
_atom_site_fract_y
_atom_site_fract_z
Nb1 Nb 0.000 0.000 0.500
Nb2 Nb 0.000 0.500 0.000
Nb3 Nb 0.500 0.000 0.000
W1 W 0.000 0.000 0.000
C1 C 0.500 0.500 0.500
```

For the total energy, the calculation gives -39.4 eV per cell. The calculation puts the energy above the most stable polymorph in this dataset at 2516 meV/atom.

=====

VASP calculation (PBE) on Nb3WC after structural relaxation.

Structure (CIF):
```
data_Nb3WC
_chemical_formula_sum 'Nb3 W1 C1'
_cell_length_a 4.311
_cell_length_b 4.311
_cell_length_c 4.311
_cell_angle_alpha 90.00
_cell_angle_beta 90.00
_cell_angle_gamma 90.00
_space_group_name_H-M_alt 'P 1'
_space_group_IT_number 1
loop_
_space_group_symop_operation_xyz
'x,y,z'
loop_
_atom_site_label
_atom_site_type_symbol
_atom_site_fract_x
_atom_site_fract_y
_atom_site_fract_z
Nb1 Nb 0.000 0.000 0.500
Nb2 Nb 0.000 0.500 0.000
Nb3 Nb 0.500 0.000 0.000
W1 W 0.500 0.500 0.500
C1 C 0.000 0.000 0.000
```

For the total energy, the calculation gives -52.0 eV per cell. The calculation puts the energy above the most stable polymorph in this dataset at 0 meV/atom.

=====

| no. | D(E_F) (states/eV/cell) | theoretical density (Mg/m³) |
| --- | --- | --- |
| 1 | 6.082 | 6.13 |
| 2 | 9.347 | 7.28 |
| 3 | 4.443 | 6.91 |
| 4 | 5.784 | 9.84 |